Te3As PBE relaxed; formation energy from raw total energies = 1.00 eV per formula unit
1.0
-2.086 2.421 5.870
2.086 -2.421 5.870
2.086 2.421 -5.870
Te As
3 1
direct
0.000 0.000 0.000
0.323 0.823 0.500
0.677 0.177 0.500
0.500 0.500 0.000